Entry from Alexandria via LeMat-Bulk: crystalline MgAg2Os at its relaxed geometry (PBE).

Cell lengths 2.844, 4.794, 4.898 Å; angles 90.00, 90.00, 90.00 degrees
Fractional positions:
Ag1 0.500 0.500 0.000
Ag2 0.000 0.000 0.000
Mg1 0.500 0.000 0.500
Os1 0.000 0.500 0.500

Output
magnetization: 0.00 μB per formula unit
N(E_F): 0.3789 states/eV/atom
E: -4.241 eV per atom